Record 1
PmSmDy after structural relaxation. Source: Alexandria, functional PBE.

Geometry as POSCAR:
```
PmSmDy
1.0
-0.245 2.328 2.745
-2.879 1.524 -1.549
-3.021 -6.798 3.125
Sm Pm Dy
1 1 1
direct
0.001 0.001 0.003
0.332 0.332 0.664
0.666 0.666 0.333
```

Values from the calculation:
- volume (Å³ per cell) = 99.6
- offset from the most stable computed form (meV/atom) = 4



Record 2
Pm2Sm8Dy after structural relaxation. Source: Alexandria, functional PBE.

Geometry as POSCAR:
```
Pm2Sm8Dy
1.0
4.951 0.000 -1.319
-0.532 7.844 -1.996
-0.101 -0.089 9.577
Dy Sm Pm
1 8 2
direct
0.500 0.000 0.000
0.681 0.909 0.363
0.410 0.547 0.819
0.319 0.091 0.637
0.590 0.453 0.181
0.136 0.180 0.272
0.864 0.820 0.728
0.045 0.728 0.090
0.955 0.272 0.910
0.773 0.364 0.546
0.227 0.636 0.454
```

Values from the calculation:
- volume (Å³ per cell) = 370.0
- offset from the most stable computed form (meV/atom) = 0



no.,energy relative to the elements (eV per atom),size of the total moment (μB/f.u.),uncorrected energy (eV/cell)
1,0.018,0.00,-14.018
2,0.015,0.00,-51.693